Computed, not measured: an optimized crystal structure of AcPb5Se7 at the PBE-GGA level of DFT.

Cell lengths 4.352, 7.550, 25.295 Å; angles 89.98, 90.00, 106.75 degrees
Fractional coordinates of all 26 atoms:
Ac (0.203, 0.406, 0.758)
Pb (0.448, 0.896, 0.649)
Se (0.108, 0.217, 0.880)
Se (0.369, 0.739, 0.963)
Pb (0.267, 0.535, 0.425)
Pb (0.282, 0.564, 0.076)
Se (0.553, 0.106, 0.748)
Pb (0.733, 0.467, 0.925)
Se (0.642, 0.285, 0.037)
Pb (0.006, 0.012, 0.002)
Pb (0.467, 0.933, 0.851)
Se (0.892, 0.785, 0.379)
Se (0.447, 0.895, 0.248)
Se (0.918, 0.837, 0.108)
Pb (0.719, 0.437, 0.576)
Pb (0.995, 0.990, 0.502)
Se (0.803, 0.606, 0.682)
Se (0.197, 0.395, 0.182)
Ac (0.798, 0.595, 0.258)
Se (0.082, 0.164, 0.608)
Se (0.358, 0.716, 0.537)
Se (0.822, 0.644, 0.821)
Se (0.179, 0.357, 0.321)
Pb (0.534, 0.068, 0.352)
Pb (0.552, 0.105, 0.149)
Se (0.631, 0.263, 0.463)

Output
Space group: No. 36
Magnetization, μB per atom: 0.0000
Volume, Å³/cell: 795.97
Formation energy (no corrections), eV per atom: -0.79
Density of states at the Fermi level, states/eV per cell: 13.53